! PBE TaPb2Au, relaxed; values from VASP
&SYSTEM
  ibrav = 0, nat = 4, ntyp = 3
/
ATOMIC_SPECIES
Pb 207.20 Pb.upf
Ta 180.95 Ta.upf
Au 196.97 Au.upf
CELL_PARAMETERS angstrom
5.593 0.002 -0.034
2.122 5.175 0.034
-3.836 -2.622 3.115
ATOMIC_POSITIONS crystal
Pb 0.000 0.000 0.000
Pb 0.500 0.500 0.000
Ta 0.750 0.250 0.500
Au 0.250 0.750 0.500
! - Total magnetic moment: 0.0 Bohr magnetons per cell
! - Volume: 22.55 Å³ per atom
! - ΔH_f (0 K): 50.4 kJ per mole of atoms